(1)
VASP calculation (PBE) on a relaxed YZnGe2Pd crystal.

## Properties
**Density of states at the Fermi level**: 1.00 states/eV/cell
**E_tot**: -5.074 eV/atom
**Formation enthalpy at 0 K**: -0.64 eV/atom

a = 4.122 Å, b = 4.122 Å, c = 6.148 Å
α = 109.58°, β = 109.58°, γ = 90.00°
Positions (direct):
Ge  0.613  0.613  0.226
Ge  0.387  0.387  0.774
Pd  0.750  0.250  0.500
Y  0.000  0.000  0.000
Zn  0.250  0.750  0.500

=====

(2)
VASP calculation (PBE) on a relaxed Mo2As3 crystal.

## Properties
**Density of states at the Fermi level**: 4.68 states/eV/cell
**E_tot**: -7.348 eV/atom
**Formation enthalpy at 0 K**: -0.23 eV/atom

a = 3.278 Å, b = 6.381 Å, c = 9.453 Å
α = 113.23°, β = 90.00°, γ = 90.00°
Positions (direct):
As  0.250  0.928  0.780
As  0.750  0.490  0.869
As  0.750  0.072  0.220
As  0.750  0.675  0.450
As  0.250  0.325  0.550
As  0.250  0.510  0.131
Mo  0.750  0.096  0.640
Mo  0.750  0.181  0.991
Mo  0.250  0.904  0.360
Mo  0.250  0.819  0.009

=====

(3)
VASP calculation (PBE) on a relaxed Na2PmAsO4 crystal.

## Properties
**E_tot**: -5.862 eV/atom
**Uncorrected formation energy**: -15.022 eV/f.u.

a = 3.426 Å, b = 5.839 Å, c = 5.915 Å
α = 109.14°, β = 90.00°, γ = 90.00°
Positions (direct):
O  0.000  0.245  0.786
O  0.000  0.755  0.214
O  0.500  0.772  0.781
O  0.500  0.228  0.219
Pm  0.500  0.500  0.000
As  0.000  0.000  0.000
Na  0.500  0.000  0.500
Na  0.000  0.500  0.500

=====

(4)
VASP calculation (PBE) on a relaxed KEu3Cu crystal.

## Properties
**Density of states at the Fermi level**: 33.37 states/eV/cell
**E_tot**: -7.120 eV/atom
**Formation enthalpy at 0 K**: 0.08 eV/atom

a = 6.000 Å, b = 6.000 Å, c = 6.000 Å
α = 90.00°, β = 90.00°, γ = 90.00°
Positions (direct):
Eu  0.000  0.500  0.000
Eu  0.000  0.000  0.500
Eu  0.500  0.000  0.000
Cu  0.000  0.000  0.000
K  0.500  0.500  0.500

=====

(5)
VASP calculation (PBE) on a relaxed TaCdSe2 crystal.

## Properties
**Density of states at the Fermi level**: 2.03 states/eV/cell
**E_tot**: -5.467 eV/atom
**Uncorrected formation energy**: -2.133 eV/f.u.

a = 9.865 Å, b = 9.865 Å, c = 9.865 Å
α = 19.95°, β = 19.95°, γ = 19.95°
Positions (direct):
Se  0.892  0.892  0.892
Se  0.108  0.108  0.108
Cd  0.000  0.000  0.000
Ta  0.500  0.500  0.500

=====

(6)
VASP calculation (PBE) on a relaxed PtSeNO2 crystal.

## Properties
**Density of states at the Fermi level**: 3.76 states/eV/cell
**E_tot**: -4.475 eV/atom
**Uncorrected formation energy**: 5.390 eV/f.u.

a = 3.653 Å, b = 3.653 Å, c = 4.497 Å
α = 90.00°, β = 90.00°, γ = 90.00°
Positions (direct):
O  0.500  0.000  0.000
O  0.000  0.500  0.000
Pt  0.500  0.500  0.500
Se  0.000  0.000  0.000
N  0.000  0.000  0.500